# Ta2FeOs

A relaxed Ta2FeOs crystal (PBE, Alexandria via LeMat-Bulk).

## Properties
The total magnetization is 0.429 μB per atom. As for the calculated density: 14.40 Mg/m³. The energy above the most stable polymorph in this dataset is 1008 meV/atom. As for the symmetry: I-42d, No. 122.

a b c (Å): 4.047 4.047 9.026
angles (deg): 77.04 77.04 90.00
Last column: magnetic moment on the atom in μB.
Atoms (fractional coordinates):
1 Os 0.000 0.000 0.000  0.10
2 Os 0.750 0.250 0.500  0.09
3 Fe 0.500 0.500 0.000  1.77
4 Fe 0.250 0.750 0.500  1.77
5 Ta 0.132 0.625 0.250  -0.07
6 Ta 0.875 0.868 0.750  -0.07
7 Ta 0.375 0.382 0.750  -0.07
8 Ta 0.618 0.125 0.250  -0.08